First-principles (PBE) data for a relaxed structure of LiAcInPt2, as listed in Alexandria.

a b c (Å): 4.128 4.128 7.086
angles (deg): 106.94 106.94 90.00
Fractional positions:
1 Li 0.250 0.750 0.500
2 Ac 0.000 0.000 0.000
3 In 0.750 0.250 0.500
4 Pt 0.607 0.607 0.214
5 Pt 0.393 0.393 0.786

Output
* calculated formation energy: -0.88 eV/atom
* SG: I-4m2

***

First-principles (PBE) data for a relaxed structure of NdSmCu4, as listed in Alexandria.

a b c (Å): 5.346 5.346 5.346
angles (deg): 60.00 60.00 60.00
Fractional positions:
1 Nd 0.000 0.000 0.000
2 Cu 0.625 0.625 0.126
3 Cu 0.625 0.126 0.625
4 Cu 0.625 0.625 0.625
5 Cu 0.126 0.625 0.625
6 Sm 0.250 0.250 0.250

Output
* calculated formation energy: -0.09 eV/atom
* SG: F-43m
* E above lowest polymorph: 127 meV/atom

***

First-principles (PBE) data for a relaxed structure of PuInCu10, as listed in Alexandria.

a b c (Å): 4.084 5.006 8.685
angles (deg): 90.00 90.00 90.00
Fractional positions:
1 Pu 0.000 0.000 0.000
2 In 0.000 0.500 0.500
3 Cu 0.000 0.000 0.342
4 Cu 0.000 0.500 0.821
5 Cu 0.000 0.500 0.179
6 Cu 0.000 0.000 0.658
7 Cu 0.500 0.000 0.500
8 Cu 0.500 0.500 0.000
9 Cu 0.500 0.248 0.250
10 Cu 0.500 0.752 0.750
11 Cu 0.500 0.752 0.250
12 Cu 0.500 0.248 0.750

Output
* calculated formation energy: 0.01 eV/atom
* SG: Pmmm

***

First-principles (PBE) data for a relaxed structure of ErScTcPd, as listed in Alexandria.

a b c (Å): 4.726 4.726 4.726
angles (deg): 60.00 60.00 60.00
Fractional positions:
1 Sc 0.750 0.750 0.750
2 Tc 0.500 0.500 0.500
3 Pd 0.000 0.000 0.000
4 Er 0.250 0.250 0.250

Output
* calculated formation energy: -0.47 eV/atom
* SG: F-43m

***

First-principles (PBE) data for a relaxed structure of TiFe2Re, as listed in Alexandria.

a b c (Å): 6.584 6.584 5.322
angles (deg): 51.79 51.79 90.00
Fractional positions:
1 Re 0.000 0.000 0.000
2 Re 0.750 0.250 0.500
3 Fe 0.643 0.125 0.250
4 Fe 0.107 0.625 0.250
5 Fe 0.375 0.357 0.750
6 Fe 0.875 0.893 0.750
7 Ti 0.500 0.500 0.000
8 Ti 0.250 0.750 0.500

Output
* calculated formation energy: 0.49 eV/atom
* SG: I-42d

***

First-principles (PBE) data for a relaxed structure of K2ZrAg, as listed in Alexandria.

a b c (Å): 3.088 6.056 6.677
angles (deg): 90.00 90.00 90.00
Fractional positions:
1 Ag 0.500 0.500 0.750
2 K 0.000 0.000 0.989
3 K 0.000 0.000 0.511
4 Zr 0.500 0.500 0.250

Output
* calculated formation energy: 0.78 eV/atom
* SG: Pmmm
* E above lowest polymorph: 389 meV/atom

***

First-principles (PBE) data for a relaxed structure of POsI2, as listed in Alexandria.

a b c (Å): 4.898 4.898 4.898
angles (deg): 60.00 60.00 60.00
Fractional positions:
1 I 0.250 0.250 0.250
2 I 0.750 0.750 0.750
3 P 0.000 0.000 0.000
4 Os 0.500 0.500 0.500

Output
* SG: Fm-3m
* formation energy from raw total energies: 6.18 eV per formula unit
* E above lowest polymorph: 1140 meV/atom

***

First-principles (PBE) data for a relaxed structure of Ba2MnInRe, as listed in Alexandria.

a b c (Å): 6.507 5.069 6.507
angles (deg): 90.00 90.00 90.00
Fractional positions:
1 Re 0.500 0.500 0.500
2 Mn 0.000 0.500 0.000
3 Ba 0.000 0.000 0.500
4 Ba 0.500 0.000 0.000
5 In 0.000 0.000 0.000

Output
* calculated formation energy: 1.47 eV/atom
* SG: P4/mmm

***

no.,Fermi-level density of states (states/eV/f.u.),total energy (eV for the cell shown)
1,1.6,-25.3
2,3.4,-26.4
3,17.0,-57.9
4,3.3,-28.3
5,7.1,-70.7
6,4.4,-10.5
7,5.6,-13.6
8,8.6,-20.9